{"formula": "ZnFe2As2H2O10", "functional": "PBE with a Hubbard U", "state": "relaxed", "energy_ev_per_atom": -5.9044, "dos_ef_per_ev_cell": 0.0, "sg": "P2_1/c", "magnetic_moment_mub_per_atom": 0.585, "cell": [[7.778, 0.000, 0.000], [0.000, 6.745, -0.022], [0.000, 6.541, 7.469]], "species": ["Fe", "Fe", "O", "Fe", "As", "As", "O", "O", "As", "O", "O", "O", "O", "O", "O", "O", "H", "O", "H", "O", "O", "H", "O", "O", "Zn", "As", "O", "O", "Zn", "O", "O", "H", "O", "Fe"], "frac_coords": [[0.865, 0.033, 0.238], [0.635, 0.033, 0.738], [0.809, 0.729, 0.505], [0.135, 0.967, 0.762], [0.876, 0.610, 0.132], [0.376, 0.390, 0.368], [0.943, 0.284, 0.995], [0.309, 0.271, 0.995], [0.624, 0.610, 0.632], [0.635, 0.273, 0.788], [0.057, 0.716, 0.005], [0.691, 0.729, 0.005], [0.117, 0.293, 0.745], [0.365, 0.727, 0.212], [0.117, 0.884, 0.359], [0.557, 0.284, 0.495], [0.623, 0.122, 0.039], [0.865, 0.273, 0.288], [0.877, 0.122, 0.539], [0.617, 0.116, 0.141], [0.883, 0.116, 0.641], [0.377, 0.878, 0.961], [0.883, 0.707, 0.255], [0.135, 0.727, 0.712], [0.500, 0.500, 0.000], [0.124, 0.390, 0.868], [0.443, 0.716, 0.505], [0.617, 0.707, 0.755], [0.000, 0.500, 0.500], [0.383, 0.293, 0.245], [0.383, 0.884, 0.859], [0.123, 0.878, 0.461], [0.191, 0.271, 0.495], [0.365, 0.967, 0.262]]}